Record 1
Below is a geometry-optimized TaNiHOs2 structure, with properties calculated at the PBE-GGA level.

Cell: 3.9796 3.9796 3.7506 Å, 90.00 90.00 90.00°
With the nearest neighbours (Å) after each atom.
Space group P4/mmm (No. 123)
Asymmetric unit:
Ta1 0.0000 0.0000 0.0000 (multiplicity 1)  8 Os 2.73, 4 Ni 2.81
Ni1 0.5000 0.5000 0.0000 (multiplicity 1)  2 H 1.88
H1 0.5000 0.5000 0.5000 (multiplicity 1)  2 Ni 1.88, 4 Os 1.99
Os1 0.0000 0.5000 0.5000 (multiplicity 2)  2 H 1.99

Uncorrected energy, eV/atom: -8.82
E above lowest polymorph, eV/atom: 0.000

***

Record 2
Below is a geometry-optimized Tc2NiHOs structure, with properties calculated at the PBE-GGA level.

Cell: 3.8642 3.8642 3.7916 Å, 90.00 90.00 90.00°
With the nearest neighbours (Å) after each atom.
Space group P4/mmm (No. 123)
Asymmetric unit:
Tc1 0.0000 0.5000 0.0000 (multiplicity 2)  2 H 1.93
Ni1 0.0000 0.0000 0.5000 (multiplicity 1)  2 H 1.90
H1 0.0000 0.0000 0.0000 (multiplicity 1)  2 Ni 1.90, 4 Tc 1.93
Os1 0.5000 0.5000 0.5000 (multiplicity 1)  8 Tc 2.71, 4 Ni 2.73

Uncorrected energy, eV/atom: -8.10

***

Record 3
Below is a geometry-optimized Ni2TeHOs structure, with properties calculated at the PBE-GGA level.

Cell: 3.9459 3.9459 3.8226 Å, 90.00 90.00 90.00°
With the nearest neighbours (Å) after each atom.
Space group P4/mmm (No. 123)
Asymmetric unit:
Ni1 0.0000 0.5000 0.0000 (multiplicity 2)  2 H 1.97
Te1 0.0000 0.0000 0.5000 (multiplicity 1)  8 Ni 2.75, 4 Os 2.79
H1 0.5000 0.5000 0.0000 (multiplicity 1)  2 Os 1.91, 4 Ni 1.97
Os1 0.5000 0.5000 0.5000 (multiplicity 1)  2 H 1.91

Uncorrected energy, eV/atom: -5.52

***

Record 4
Below is a geometry-optimized TiNi2HOs structure, with properties calculated at the PBE-GGA level.

Cell: 3.6290 3.6290 4.0268 Å, 90.00 90.00 90.00°
With the nearest neighbours (Å) after each atom.
Space group P4/mmm (No. 123)
Asymmetric unit:
Ti1 0.0000 0.0000 0.0000 (multiplicity 1)  2 H 2.01
Ni1 0.0000 0.5000 0.5000 (multiplicity 2)  2 H 1.81
H1 0.0000 0.0000 0.5000 (multiplicity 1)  4 Ni 1.81, 2 Ti 2.01
Os1 0.5000 0.5000 0.0000 (multiplicity 1)  4 Ti 2.57, 8 Ni 2.71

Uncorrected energy, eV/atom: -7.04
E above lowest polymorph, eV/atom: 0.022

***

Record 5
Below is a geometry-optimized TiNi2HOs structure, with properties calculated at the PBE-GGA level.

Cell: 3.7046 3.7046 3.8913 Å, 90.00 90.00 90.00°
With the nearest neighbours (Å) after each atom.
Space group P4/mmm (No. 123)
Asymmetric unit:
Ti1 0.0000 0.0000 0.0000 (multiplicity 1)  4 Os 2.62, 8 Ni 2.69
Ni1 0.0000 0.5000 0.5000 (multiplicity 2)  2 H 1.85
H1 0.5000 0.5000 0.5000 (multiplicity 1)  4 Ni 1.85, 2 Os 1.95
Os1 0.5000 0.5000 0.0000 (multiplicity 1)  2 H 1.95

Uncorrected energy, eV/atom: -7.07
E above lowest polymorph, eV/atom: 0.000

***

Record 6
Below is a geometry-optimized Ni2HOsW structure, with properties calculated at the PBE-GGA level.

Cell: 3.7373 3.7373 3.8899 Å, 90.00 90.00 90.00°
With the nearest neighbours (Å) after each atom.
Space group P4/mmm (No. 123)
Asymmetric unit:
Ni1 0.0000 0.5000 0.0000 (multiplicity 2)  2 H 1.87
H1 0.0000 0.0000 0.0000 (multiplicity 1)  4 Ni 1.87, 2 Os 1.94
Os1 0.0000 0.0000 0.5000 (multiplicity 1)  2 H 1.94
W1 0.5000 0.5000 0.5000 (multiplicity 1)  4 Os 2.64, 8 Ni 2.70

Uncorrected energy, eV/atom: -7.72
E above lowest polymorph, eV/atom: 0.014

***

Record 7
Below is a geometry-optimized NiHOs2W structure, with properties calculated at the PBE-GGA level.

Cell: 3.9519 3.9519 3.7206 Å, 90.00 90.00 90.00°
With the nearest neighbours (Å) after each atom.
Space group P4/mmm (No. 123)
Asymmetric unit:
Ni1 0.0000 0.0000 0.0000 (multiplicity 1)  2 H 1.86
H1 0.0000 0.0000 0.5000 (multiplicity 1)  2 Ni 1.86, 4 Os 1.98
Os1 0.0000 0.5000 0.5000 (multiplicity 2)  2 H 1.98
W1 0.5000 0.5000 0.0000 (multiplicity 1)  8 Os 2.71, 4 Ni 2.79

Uncorrected energy, eV/atom: -8.76

***

Record 8
Below is a geometry-optimized Ni2HOsW structure, with properties calculated at the PBE-GGA level.

Cell: 3.6996 3.6996 3.9767 Å, 90.00 90.00 90.00°
With the nearest neighbours (Å) after each atom.
Space group P4/mmm (No. 123)
Asymmetric unit:
Ni1 0.0000 0.5000 0.0000 (multiplicity 2)  2 H 1.85
H1 0.0000 0.0000 0.0000 (multiplicity 1)  4 Ni 1.85, 2 W 1.99
Os1 0.5000 0.5000 0.5000 (multiplicity 1)  4 W 2.62, 8 Ni 2.72
W1 0.0000 0.0000 0.5000 (multiplicity 1)  2 H 1.99

Uncorrected energy, eV/atom: -7.73
E above lowest polymorph, eV/atom: 0.000